This record from the Alexandria database describes crystalline CsRe at its relaxed geometry. The functional is GGA-PBE.

## Properties
Density of states at the Fermi level (states/eV/cell): 25.453
Raw total energy (eV for the cell shown): -78.5
Energy relative to the lowest polymorph listed for this composition (eV/atom): 0.6544
Total moment (μB/f.u.): 0.9
Mass density (Mg/m³): 3.2

abc: 11.0285 11.0285 11.0285
angles: 90.00 90.00 90.00
Last column: magnetic moment on the atom in μB.
Sites, in units of the cell vectors:
Re1 0.9225 0.0775 0.0775  0.54
Re2 0.4225 0.4225 0.4225  0.54
Re3 0.0775 0.0775 0.9225  0.54
Re4 0.0775 0.9225 0.0775  0.54
Re5 0.5775 0.4225 0.5775  0.54
Re6 0.5775 0.5775 0.4225  0.54
Re7 0.9225 0.9225 0.9225  0.54
Re8 0.4225 0.5775 0.5775  0.54
Cs1 0.7185 0.7185 0.7185  0.02
Cs2 0.2185 0.2185 0.2185  0.02
Cs3 0.7815 0.7815 0.2185  0.02
Cs4 0.2185 0.7815 0.7815  0.02
Cs5 0.2815 0.2815 0.7185  0.02
Cs6 0.2815 0.7185 0.2815  0.02
Cs7 0.7815 0.2185 0.7815  0.02
Cs8 0.7185 0.2815 0.2815  0.02